Entry 1:
First-principles (GGA-PBE) data for a relaxed structure of Nd2ScPa, as listed in the Alexandria database.

Lattice parameters (Å, degrees): 3.400 3.400 10.161 90.00 90.00 90.00
Element x y z (fractional)
Nd1 0.000 0.000 0.245
Nd2 0.000 0.000 0.755
Sc1 0.500 0.500 0.500
Pa1 0.500 0.500 0.000

## Properties
For the total moment, the calculation gives 0.121 μB/cell. As for the space group: P4/mmm (123). The final energy is -6.15 eV/atom. The value obtained for the calculated volume is 117.4 Å³/cell. As for the calculated formation energy: 0.195 eV/atom.

***

Entry 2:
First-principles (GGA-PBE) data for a relaxed structure of La2NiI2, as listed in the Alexandria database.

Lattice parameters (Å, degrees): 12.078 12.078 12.078 20.36 20.36 20.36
Element x y z (fractional)
La1 0.122 0.122 0.122
La2 0.878 0.878 0.878
Ni1 0.500 0.500 0.500
I1 0.392 0.392 0.392
I2 0.608 0.608 0.608

## Properties
For the total moment, the calculation gives 0.000 μB/cell. As for the space group: R-3m (166). The final energy is -4.66 eV/atom. The value obtained for the calculated volume is 186.7 Å³/cell. Its uncorrected formation energy is -918 meV per atom.

***

Entry 3:
First-principles (GGA-PBE) data for a relaxed structure of AlP2Pb, as listed in the Alexandria database.

Lattice parameters (Å, degrees): 4.703 3.722 5.207 90.00 105.98 90.00
Element x y z (fractional)
Al1 0.000 0.000 0.000
P1 0.280 0.500 0.857
P2 0.720 0.500 0.143
Pb1 0.500 0.000 0.500

## Properties
For the total moment, the calculation gives 0.000 μB/cell. As for the space group: P2/m (10). The final energy is -4.55 eV/atom. The value obtained for the calculated volume is 87.6 Å³/cell. As for the calculated formation energy: 0.022 eV/atom.

***

Entry 4:
First-principles (GGA-PBE) data for a relaxed structure of PrTm5Te4, as listed in the Alexandria database.

Lattice parameters (Å, degrees): 9.383 9.383 8.548 103.89 103.89 25.55
Element x y z (fractional)
Pr1 0.000 0.000 0.000
Tm1 0.000 0.000 0.500
Tm2 0.305 0.305 0.646
Tm3 0.342 0.342 0.222
Tm4 0.658 0.658 0.778
Tm5 0.695 0.695 0.354
Te1 0.174 0.174 0.064
Te2 0.481 0.481 0.728
Te3 0.519 0.519 0.272
Te4 0.826 0.826 0.936

## Properties
For the total moment, the calculation gives 0.000 μB/cell. As for the space group: C2/m (12). The final energy is -4.81 eV/atom. The value obtained for the calculated volume is 314.6 Å³/cell. Its uncorrected formation energy is -836 meV per atom.